Computed, not measured: KH4NCl2 after structural relaxation at the PBE level of DFT.

Cell lengths 9.0649, 6.4123, 8.0303 Å; angles 66.49, 55.64, 45.02 degrees
Fractional coordinates of all 16 atoms:
1 H 0.4096 0.1336 0.9134
2 H 0.4567 0.1336 0.0866
3 H 0.4566 0.8664 0.0866
4 H 0.6770 0.8664 0.9134
5 H 0.3404 0.3664 0.5866
6 H 0.2933 0.3664 0.4134
7 H 0.0730 0.6336 0.5866
8 H 0.2934 0.6336 0.4134
9 N 0.5000 0.0000 0.0000
10 N 0.2500 0.5000 0.5000
11 Cl 0.0015 0.5000 0.9971
12 Cl 0.4985 0.5000 0.0029
13 Cl 0.2515 0.0000 0.4971
14 Cl 0.7485 0.0000 0.5029
15 K 0.7500 0.5000 0.5000
16 K 0.0000 0.0000 0.0000

Output
The electronic total energy is -0.1562 Ha/atom. Its calculated density is 1.6 g/cm³. As for the crystal system: tetragonal.

***

Computed, not measured: Zr6Zn23 after structural relaxation at the PBE level of DFT.

Cell lengths 8.7021, 8.7021, 8.7021 Å; angles 60.00, 60.00, 60.00 degrees
Fractional coordinates of all 29 atoms:
1 Zr 0.8113 0.8113 0.1887
2 Zr 0.1887 0.1887 0.8113
3 Zr 0.1887 0.8113 0.1887
4 Zr 0.1887 0.8113 0.8113
5 Zr 0.8113 0.1887 0.1887
6 Zr 0.8113 0.1887 0.8113
7 Zn 0.5000 0.5000 0.0000
8 Zn 0.0000 0.0000 0.5000
9 Zn 0.5044 0.8319 0.8319
10 Zn 0.3793 0.8620 0.3793
11 Zn 0.1681 0.1681 0.4956
12 Zn 0.5000 0.0000 0.0000
13 Zn 0.0000 0.5000 0.0000
14 Zn 0.3793 0.3793 0.3793
15 Zn 0.6207 0.1380 0.6207
16 Zn 0.0000 0.5000 0.5000
17 Zn 0.4956 0.1681 0.1681
18 Zn 0.6207 0.6207 0.6207
19 Zn 0.8319 0.5044 0.8319
20 Zn 0.5000 0.5000 0.5000
21 Zn 0.3793 0.3793 0.8620
22 Zn 0.1380 0.6207 0.6207
23 Zn 0.5000 0.0000 0.5000
24 Zn 0.8620 0.3793 0.3793
25 Zn 0.6207 0.6207 0.1380
26 Zn 0.1681 0.1681 0.1681
27 Zn 0.8319 0.8319 0.5044
28 Zn 0.8319 0.8319 0.8319
29 Zn 0.1681 0.4956 0.1681

Output
The electronic total energy is -0.1102 Ha/atom. For the energy relative to the elements, the calculation gives -0.2185 eV/atom. Its calculated density is 7.3 g/cm³. As for the crystal system: cubic.

***

Computed, not measured: SiSb2Os after structural relaxation at the PBE level of DFT.

Cell lengths 3.4886, 5.2441, 4.3512 Å; angles 90.00, 90.00, 90.00 degrees
Fractional coordinates of all 4 atoms:
1 Sb 0.0000 0.0000 0.0000
2 Sb 0.5000 0.5000 0.0000
3 Si 0.5000 0.0000 0.5000
4 Os 0.0000 0.5000 0.5000

Output
The electronic total energy is -0.1972 Ha/atom. The formation energy (no corrections) is 0.86 eV per atom. Its calculated density is 9.6 g/cm³. As for the crystal system: orthorhombic.

***

Computed, not measured: Ba2YTaV after structural relaxation at the PBE level of DFT.

Cell lengths 5.8439, 5.2488, 5.8439 Å; angles 90.00, 90.00, 90.00 degrees
Each line ends with the local moment (μB).
Fractional coordinates of all 5 atoms:
1 V 0.0000 0.0000 0.0000  0.19
2 Ta 0.5000 0.5000 0.5000  2.09
3 Ba 0.0000 0.0000 0.5000  0.05
4 Ba 0.5000 0.0000 0.0000  0.07
5 Y 0.0000 0.5000 0.0000  0.05

Output
The electronic total energy is -0.1716 Ha/atom. For the energy relative to the elements, the calculation gives 1.5861 eV/atom. Its calculated density is 5.5 g/cm³. As for the crystal system: tetragonal.

***

Computed, not measured: Mn3Ag2S6 after structural relaxation at the PBE level of DFT.

Cell lengths 6.1884, 6.0106, 6.7456 Å; angles 84.12, 78.52, 59.02 degrees
Each line ends with the local moment (μB).
Fractional coordinates of all 11 atoms:
1 S 0.0251 0.3360 0.7919  -0.02
2 S 0.9749 0.6640 0.2081  -0.02
3 S 0.7128 0.0000 0.8102  -0.07
4 S 0.3611 0.6640 0.7919  -0.02
5 S 0.2872 0.0000 0.1898  -0.07
6 S 0.6389 0.3360 0.2081  -0.02
7 Mn 0.6666 0.6667 0.0000  3.59
8 Mn 0.0000 0.0000 0.0000  3.29
9 Mn 0.3334 0.3333 0.0000  3.59
10 Ag 0.1610 0.6780 0.5000  0.01
11 Ag 0.8390 0.3220 0.5000  0.01

Output
The electronic total energy is -0.2082 Ha/atom. The formation energy (no corrections) is -0.39 eV per atom. Its calculated density is 4.5 g/cm³. As for the crystal system: monoclinic.

***

Computed, not measured: Er2Zr2Sb2C after structural relaxation at the PBE level of DFT.

Cell lengths 4.5024, 4.5024, 8.4552 Å; angles 105.44, 105.44, 90.00 degrees
Fractional coordinates of all 7 atoms:
1 C 0.0000 0.0000 0.0000
2 Sb 0.6399 0.6399 0.2798
3 Sb 0.3601 0.3601 0.7202
4 Er 0.1608 0.1608 0.3216
5 Er 0.8392 0.8392 0.6784
6 Zr 0.5000 0.0000 0.0000
7 Zr 0.0000 0.5000 0.0000

Output
The electronic total energy is -0.2588 Ha/atom. The formation energy (no corrections) is -0.80 eV per atom. Its calculated density is 8.1 g/cm³. As for the crystal system: tetragonal.

***

Computed, not measured: CsPAuS2 after structural relaxation at the PBE level of DFT.

Cell lengths 5.2874, 5.2874, 4.6961 Å; angles 90.00, 90.00, 90.00 degrees
Fractional coordinates of all 5 atoms:
1 S 0.0000 0.5000 0.0000
2 S 0.5000 0.0000 0.0000
3 Au 0.0000 0.0000 0.0000
4 Cs 0.5000 0.5000 0.5000
5 P 0.0000 0.0000 0.5000

Output
The electronic total energy is -0.1210 Ha/atom. The formation energy (no corrections) is 0.27 eV per atom. Its calculated density is 5.4 g/cm³. As for the crystal system: tetragonal. The energy relative to the lowest polymorph listed for this composition comes out at 0 meV/atom.

***

Computed, not measured: Cd2BiO after structural relaxation at the PBE level of DFT.

Cell lengths 4.9499, 4.9499, 4.9499 Å; angles 60.00, 60.00, 60.00 degrees
Fractional coordinates of all 4 atoms:
1 O 0.0000 0.0000 0.0000
2 Cd 0.2500 0.2500 0.2500
3 Cd 0.7500 0.7500 0.7500
4 Bi 0.5000 0.5000 0.5000

Output
The electronic total energy is -0.0874 Ha/atom. The formation energy (no corrections) is 0.29 eV per atom. Its calculated density is 8.7 g/cm³. As for the crystal system: cubic. The energy relative to the lowest polymorph listed for this composition comes out at 621 meV/atom.

***

Computed, not measured: Y2TiAlN after structural relaxation at the PBE level of DFT.

Cell lengths 4.8540, 4.8540, 4.1179 Å; angles 90.00, 90.00, 90.00 degrees
Each line ends with the local moment (μB).
Fractional coordinates of all 5 atoms:
1 Al 0.5000 0.5000 0.5000  -0.02
2 Y 0.5000 0.0000 0.0000  0.08
3 Y 0.0000 0.5000 0.0000  0.08
4 Ti 0.0000 0.0000 0.5000  0.81
5 N 0.0000 0.0000 0.0000  -0.04

Output
The electronic total energy is -0.2737 Ha/atom. The formation energy (no corrections) is -0.87 eV per atom. Its calculated density is 4.6 g/cm³. As for the crystal system: tetragonal. The energy relative to the lowest polymorph listed for this composition comes out at 0 meV/atom.

***

Computed, not measured: Ba2ZrAg after structural relaxation at the PBE level of DFT.

Cell lengths 6.2457, 6.2457, 6.2457 Å; angles 129.01, 129.01, 74.99 degrees
Each line ends with the local moment (μB).
Fractional coordinates of all 4 atoms:
1 Ba 0.5000 0.5000 0.0000  0.14
2 Ba 0.0000 0.0000 0.0000  0.14
3 Zr 0.2500 0.7500 0.5000  1.28
4 Ag 0.7500 0.2500 0.5000  0.02

Output
The electronic total energy is -0.1200 Ha/atom. For the energy relative to the elements, the calculation gives 0.5465 eV/atom. Its calculated density is 5.5 g/cm³. As for the crystal system: tetragonal. The energy relative to the lowest polymorph listed for this composition comes out at 320 meV/atom.

***

Computed, not measured: Mn2HPdPt after structural relaxation at the PBE level of DFT.

Cell lengths 3.7674, 3.7674, 3.8718 Å; angles 90.00, 90.00, 90.00 degrees
Fractional coordinates of all 5 atoms:
1 Pt 0.0000 0.0000 0.5000
2 Pd 0.5000 0.5000 0.5000
3 Mn 0.0000 0.5000 0.0000
4 Mn 0.5000 0.0000 0.0000
5 H 0.0000 0.0000 0.0000

Output
The electronic total energy is -0.2354 Ha/atom. Its calculated density is 12.5 g/cm³. As for the crystal system: tetragonal. The energy relative to the lowest polymorph listed for this composition comes out at 344 meV/atom.